Record 1
## SrLiRh2 (GGA-PBE)

Data for crystalline SrLiRh2 at its relaxed geometry.

The density of states at the Fermi level comes out at 9.6 states/eV per cell. The total magnetization comes out at 0.0 Bohr magnetons per cell. As for the calculated formation energy: 0.100 eV/atom.

Cell and atoms, written as extended XYZ:
```
8
Lattice="4.102 0.000 0.000 0.000 4.102 0.000 0.000 0.000 8.660" Properties=species:S:1:pos:R:3 pbc="T T T"
Sr 0.000 0.000 0.000
Sr 2.051 2.051 4.330
Li 0.000 0.000 4.330
Li 2.051 2.051 0.000
Rh 0.000 2.051 2.165
Rh 0.000 2.051 6.495
Rh 2.051 0.000 2.165
Rh 2.051 0.000 6.495
```


Record 2
## SrLiRh (GGA-PBE)

Data for crystalline SrLiRh at its relaxed geometry.

The density of states at the Fermi level comes out at 1.9 states/eV per cell. The total magnetization comes out at 0.0 Bohr magnetons per cell. As for the calculated formation energy: -0.070 eV/atom.

Cell and atoms, written as extended XYZ:
```
3
Lattice="4.468 0.000 0.000 -2.234 3.870 0.000 0.000 0.000 3.864" Properties=species:S:1:pos:R:3 pbc="T T T"
Sr 0.000 0.000 0.000
Li 2.234 1.290 1.932
Rh 0.000 2.580 1.932
```


Record 3
## SrLi2Rh (GGA-PBE)

Data for crystalline SrLi2Rh at its relaxed geometry.

The density of states at the Fermi level comes out at 4.6 states/eV per cell. The total magnetization comes out at 0.0 Bohr magnetons per cell. As for the calculated formation energy: -0.143 eV/atom.

Cell and atoms, written as extended XYZ:
```
8
Lattice="4.505 0.000 0.000 0.000 5.808 0.000 0.000 0.000 6.425" Properties=species:S:1:pos:R:3 pbc="T T T"
Sr 1.126 1.452 0.556
Sr 3.378 4.356 5.869
Li 1.126 0.144 3.844
Li 1.126 2.760 3.844
Li 3.378 3.048 2.581
Li 3.378 5.664 2.581
Rh 1.126 4.356 1.704
Rh 3.378 1.452 4.721
```


Record 4
## SrLi2Rh (GGA-PBE)

Data for crystalline SrLi2Rh at its relaxed geometry.

The density of states at the Fermi level comes out at 1.7 states/eV per cell. The total magnetization comes out at 0.0 Bohr magnetons per cell. As for the calculated formation energy: 0.043 eV/atom.

Cell and atoms, written as extended XYZ:
```
4
Lattice="4.276 0.000 0.000 0.000 4.276 0.000 0.000 0.000 4.553" Properties=species:S:1:pos:R:3 pbc="T T T"
Sr 0.000 0.000 0.000
Li 0.000 2.138 2.276
Li 2.138 0.000 2.276
Rh 2.138 2.138 0.000
```


Record 5
## Sr3Li2Rh (GGA-PBE)

Data for crystalline Sr3Li2Rh at its relaxed geometry.

The density of states at the Fermi level comes out at 18.6 states/eV per cell. The total magnetization comes out at 0.0 Bohr magnetons per cell. As for the calculated formation energy: -0.131 eV/atom.

Cell and atoms, written as extended XYZ:
```
24
Lattice="13.503 0.000 0.000 0.000 4.448 0.000 0.000 0.000 13.145" Properties=species:S:1:pos:R:3 pbc="T T T"
Sr 0.654 1.112 1.789
Sr 1.467 3.336 7.191
Sr 3.238 1.112 10.376
Sr 3.513 3.336 3.804
Sr 5.285 1.112 0.618
Sr 6.097 3.336 8.361
Sr 7.406 1.112 4.784
Sr 8.218 3.336 12.526
Sr 9.989 1.112 9.340
Sr 10.265 3.336 2.768
Sr 12.036 1.112 5.954
Sr 12.848 3.336 11.356
Li 0.346 3.336 4.231
Li 2.901 3.336 12.920
Li 3.851 1.112 6.348
Li 6.406 1.112 10.803
Li 7.097 3.336 2.341
Li 9.652 3.336 6.797
Li 10.602 1.112 0.225
Li 13.157 1.112 8.914
Rh 1.583 1.112 4.862
Rh 5.169 3.336 11.434
Rh 8.334 1.112 1.710
Rh 11.920 3.336 8.282
```


Record 6
## SrLiRh2 (GGA-PBE)

Data for crystalline SrLiRh2 at its relaxed geometry.

The density of states at the Fermi level comes out at 8.1 states/eV per cell. The total magnetization comes out at 0.0 Bohr magnetons per cell. As for the calculated formation energy: 0.173 eV/atom.

Cell and atoms, written as extended XYZ:
```
8
Lattice="5.595 0.000 0.000 0.000 8.721 0.000 0.000 0.000 3.024" Properties=species:S:1:pos:R:3 pbc="T T T"
Sr 0.000 0.000 0.000
Sr 2.798 4.360 0.000
Li 0.000 4.360 0.000
Li 2.798 0.000 0.000
Rh 1.399 2.180 1.512
Rh 1.399 6.540 1.512
Rh 4.197 2.180 1.512
Rh 4.197 6.540 1.512
```


Record 7
## Sr4LiRh (GGA-PBE)

Data for crystalline Sr4LiRh at its relaxed geometry.

The density of states at the Fermi level comes out at 6.9 states/eV per cell. The total magnetization comes out at 0.0 Bohr magnetons per cell. As for the calculated formation energy: -0.064 eV/atom.

Cell and atoms, written as extended XYZ:
```
12
Lattice="5.057 -8.178 0.000 5.057 8.178 0.000 -4.388 0.000 6.134" Properties=species:S:1:pos:R:3 pbc="T T T"
Sr -0.149 4.857 5.127
Sr -0.900 0.718 4.427
Sr 1.294 -0.718 1.360
Sr 3.682 4.857 4.074
Sr 2.045 -4.857 2.060
Sr 4.433 0.718 4.773
Sr 6.626 -0.718 1.706
Sr 5.876 -4.857 1.007
Li 3.960 2.059 1.533
Li 1.767 -2.059 4.600
Rh 1.767 6.945 4.600
Rh 3.960 -6.945 1.533
```


Record 8
## Sr2Li17Rh3 (GGA-PBE)

Data for crystalline Sr2Li17Rh3 at its relaxed geometry.

The density of states at the Fermi level comes out at 9.5 states/eV per cell. The total magnetization comes out at 0.0 Bohr magnetons per cell. As for the calculated formation energy: 0.027 eV/atom.

Cell and atoms, written as extended XYZ:
```
22
Lattice="5.152 2.975 4.921 -5.152 2.975 4.921 0.000 -5.950 4.921" Properties=species:S:1:pos:R:3 pbc="T T T"
Sr 0.000 0.000 2.484
Sr 0.000 0.000 12.280
Li -2.576 -1.487 4.921
Li 0.000 -3.095 4.958
Li -2.681 1.548 4.958
Li -1.387 -2.403 7.382
Li -2.775 0.000 7.382
Li -2.681 -1.548 9.806
Li 0.000 0.000 5.990
Li -2.576 1.487 9.843
Li 1.387 -2.403 7.382
Li 0.000 2.975 4.921
Li -1.387 2.403 7.382
Li 0.000 0.000 8.774
Li 2.681 1.548 4.959
Li 2.775 0.000 7.382
Li 1.387 2.403 7.382
Li 2.681 -1.548 9.806
Li 0.000 3.095 9.806
Rh -5.152 0.000 7.382
Rh -2.576 1.487 2.461
Rh 2.576 1.487 2.461
```


Record 9
## SrLiTbRh (GGA-PBE)

Data for crystalline SrLiTbRh at its relaxed geometry.

The density of states at the Fermi level comes out at 9.5 states/eV per cell. The total magnetization comes out at 0.0 Bohr magnetons per cell. As for the calculated formation energy: -0.214 eV/atom.

Cell and atoms, written as extended XYZ:
```
16
Lattice="7.233 0.000 0.000 0.000 7.233 0.000 0.000 0.000 7.233" Properties=species:S:1:pos:R:3 pbc="T T T"
Sr 0.000 0.000 0.000
Sr 0.000 3.616 3.616
Sr 3.616 0.000 3.616
Sr 3.616 3.616 0.000
Li 1.808 1.808 1.808
Li 1.808 5.425 5.425
Li 5.425 1.808 5.425
Li 5.425 5.425 1.808
Tb 0.000 0.000 3.616
Tb 0.000 3.616 0.000
Tb 3.616 0.000 0.000
Tb 3.616 3.616 3.616
Rh 1.808 1.808 5.425
Rh 1.808 5.425 1.808
Rh 5.425 1.808 1.808
Rh 5.425 5.425 5.425
```


Record 10
## SrLiTlRh (GGA-PBE)

Data for crystalline SrLiTlRh at its relaxed geometry.

The density of states at the Fermi level comes out at 4.7 states/eV per cell. The total magnetization comes out at 0.0 Bohr magnetons per cell. As for the calculated formation energy: -0.256 eV/atom.

Cell and atoms, written as extended XYZ:
```
8
Lattice="8.162 0.000 0.000 0.000 4.720 0.000 -2.725 0.000 5.141" Properties=species:S:1:pos:R:3 pbc="T T T"
Sr 0.000 0.000 0.000
Sr 4.081 2.360 0.000
Li 1.356 2.360 2.127
Li 5.438 0.000 2.127
Tl -1.365 2.360 2.774
Tl 2.716 0.000 2.774
Rh -0.008 0.000 3.083
Rh 4.073 2.360 3.083
```


Record 11
## SrLiTlRh (GGA-PBE)

Data for crystalline SrLiTlRh at its relaxed geometry.

The density of states at the Fermi level comes out at 8.0 states/eV per cell. The total magnetization comes out at 0.0 Bohr magnetons per cell. As for the calculated formation energy: -0.177 eV/atom.

Cell and atoms, written as extended XYZ:
```
16
Lattice="7.036 0.000 0.000 0.000 7.036 0.000 0.000 0.000 7.036" Properties=species:S:1:pos:R:3 pbc="T T T"
Sr 0.000 0.000 0.000
Sr 0.000 3.518 3.518
Sr 3.518 0.000 3.518
Sr 3.518 3.518 0.000
Li 1.759 1.759 5.277
Li 1.759 5.277 1.759
Li 5.277 1.759 1.759
Li 5.277 5.277 5.277
Tl 0.000 0.000 3.518
Tl 0.000 3.518 0.000
Tl 3.518 0.000 0.000
Tl 3.518 3.518 3.518
Rh 1.759 1.759 1.759
Rh 1.759 5.277 5.277
Rh 5.277 1.759 5.277
Rh 5.277 5.277 1.759
```


Record 12
## SrLiTl2Rh (GGA-PBE)

Data for crystalline SrLiTl2Rh at its relaxed geometry.

The density of states at the Fermi level comes out at 3.2 states/eV per cell. The total magnetization comes out at 0.0 Bohr magnetons per cell. As for the calculated formation energy: -0.169 eV/atom.

Cell and atoms, written as extended XYZ:
```
5
Lattice="5.289 0.000 0.000 0.000 5.289 0.000 0.000 0.000 4.854" Properties=species:S:1:pos:R:3 pbc="T T T"
Sr 0.000 0.000 0.000
Li 2.645 2.645 0.000
Tl 0.000 2.645 2.427
Tl 2.645 0.000 2.427
Rh 2.645 2.645 2.427
```


Record 13
## Sr2LiRhW (GGA-PBE)

Data for crystalline Sr2LiRhW at its relaxed geometry.

The density of states at the Fermi level comes out at 3.3 states/eV per cell. The total magnetization comes out at 2.1 Bohr magnetons per cell. As for the calculated formation energy: 0.610 eV/atom.

Cell and atoms, written as extended XYZ:
```
5
Lattice="5.900 0.000 0.000 0.000 5.900 0.000 0.000 0.000 4.789" Properties=species:S:1:pos:R:3 pbc="T T T"
Sr 0.000 2.950 0.000
Sr 2.950 0.000 0.000
Li 0.000 0.000 2.394
Rh 2.950 2.950 0.000
W 2.950 2.950 2.394
```


Record 14
## SrLiY2Rh (GGA-PBE)

Data for crystalline SrLiY2Rh at its relaxed geometry.

The density of states at the Fermi level comes out at 4.4 states/eV per cell. The total magnetization comes out at 0.0 Bohr magnetons per cell. As for the calculated formation energy: -0.172 eV/atom.

Cell and atoms, written as extended XYZ:
```
5
Lattice="5.325 0.000 0.000 0.000 5.325 0.000 0.000 0.000 5.496" Properties=species:S:1:pos:R:3 pbc="T T T"
Sr 0.000 0.000 0.000
Li 2.663 2.663 0.000
Y 0.000 2.663 2.748
Y 2.663 0.000 2.748
Rh 2.663 2.663 2.748
```


Record 15
## Sr2LiYRh (GGA-PBE)

Data for crystalline Sr2LiYRh at its relaxed geometry.

The density of states at the Fermi level comes out at 2.8 states/eV per cell. The total magnetization comes out at 0.0 Bohr magnetons per cell. As for the calculated formation energy: -0.126 eV/atom.

Cell and atoms, written as extended XYZ:
```
5
Lattice="5.946 0.000 0.000 0.000 5.946 0.000 0.000 0.000 5.318" Properties=species:S:1:pos:R:3 pbc="T T T"
Sr 0.000 2.973 0.000
Sr 2.973 0.000 0.000
Li 0.000 0.000 2.659
Y 2.973 2.973 2.659
Rh 2.973 2.973 0.000
```


Record 16
## SrLi2ZnRh (GGA-PBE)

Data for crystalline SrLi2ZnRh at its relaxed geometry.

The density of states at the Fermi level comes out at 3.2 states/eV per cell. The total magnetization comes out at 0.0 Bohr magnetons per cell. As for the calculated formation energy: -0.046 eV/atom.

Cell and atoms, written as extended XYZ:
```
5
Lattice="4.701 0.000 0.000 0.000 4.701 0.000 0.000 0.000 4.898" Properties=species:S:1:pos:R:3 pbc="T T T"
Sr 0.000 0.000 0.000
Li 0.000 2.350 2.449
Li 2.350 0.000 2.449
Zn 2.350 2.350 2.449
Rh 2.350 2.350 0.000
```


Record 17
## Sr2LiZnRh (GGA-PBE)

Data for crystalline Sr2LiZnRh at its relaxed geometry.

The density of states at the Fermi level comes out at 2.1 states/eV per cell. The total magnetization comes out at 0.0 Bohr magnetons per cell. As for the calculated formation energy: -0.104 eV/atom.

Cell and atoms, written as extended XYZ:
```
5
Lattice="5.797 0.000 0.000 0.000 5.797 0.000 0.000 0.000 4.880" Properties=species:S:1:pos:R:3 pbc="T T T"
Sr 0.000 2.898 0.000
Sr 2.898 0.000 0.000
Li 0.000 0.000 2.440
Zn 2.898 2.898 2.440
Rh 2.898 2.898 0.000
```


Record 18
## SrLi2ZnRh (GGA-PBE)

Data for crystalline SrLi2ZnRh at its relaxed geometry.

The density of states at the Fermi level comes out at 2.6 states/eV per cell. The total magnetization comes out at 0.0 Bohr magnetons per cell. As for the calculated formation energy: -0.125 eV/atom.

Cell and atoms, written as extended XYZ:
```
5
Lattice="4.753 0.000 0.000 0.000 4.753 0.000 0.000 0.000 4.930" Properties=species:S:1:pos:R:3 pbc="T T T"
Sr 0.000 0.000 0.000
Li 0.000 2.377 2.465
Li 2.377 0.000 2.465
Zn 2.377 2.377 0.000
Rh 2.377 2.377 2.465
```


Record 19
## Li4TaRh (GGA-PBE)

Data for crystalline Li4TaRh at its relaxed geometry.

The density of states at the Fermi level comes out at 1.4 states/eV per cell. The total magnetization comes out at 0.0 Bohr magnetons per cell. As for the calculated formation energy: 0.210 eV/atom.

Cell and atoms, written as extended XYZ:
```
6
Lattice="0.000 3.405 3.405 3.405 0.000 3.405 3.405 3.405 0.000" Properties=species:S:1:pos:R:3 pbc="T T T"
Li 0.835 0.835 0.835
Li 2.570 2.570 0.835
Li 2.570 0.835 2.570
Li 0.835 2.570 2.570
Ta 3.405 3.405 3.405
Rh 5.107 5.107 5.107
```


Record 20
## LiTaRh4 (GGA-PBE)

Data for crystalline LiTaRh4 at its relaxed geometry.

The density of states at the Fermi level comes out at 10.1 states/eV per cell. The total magnetization comes out at 0.0 Bohr magnetons per cell. As for the calculated formation energy: -0.152 eV/atom.

Cell and atoms, written as extended XYZ:
```
6
Lattice="4.293 0.000 0.000 2.146 4.573 0.000 2.139 1.322 4.409" Properties=species:S:1:pos:R:3 pbc="T T T"
Li 0.000 0.000 0.000
Ta 2.142 2.948 2.204
Rh 4.289 4.410 2.407
Rh 2.145 1.380 0.101
Rh 6.433 4.516 4.308
Rh 4.288 1.486 2.001
```